The following is a PBE calculation of a geometry-optimized Sr2Al4NiPt3 structure, from Alexandria via LeMat-Bulk.

Structure (CIF):
```
data_Sr2Al4NiPt3
_cell_length_a 4.391
_cell_length_b 4.391
_cell_length_c 10.211
_cell_angle_alpha 90.00
_cell_angle_beta 90.00
_cell_angle_gamma 90.00
_space_group_name_H-M_alt 'P 1'
_space_group_IT_number 1
_space_group_name_Hall 'P 1'
loop_
_atom_site_label
_atom_site_type_symbol
_atom_site_fract_x
_atom_site_fract_y
_atom_site_fract_z
Sr1 Sr 0.500 0.000 0.258
Sr2 Sr 0.000 0.500 0.742
Al1 Al 0.500 0.500 0.000
Al2 Al 0.000 0.000 0.000
Al3 Al 0.500 0.000 0.616
Al4 Al 0.000 0.500 0.384
Ni1 Ni 0.500 0.500 0.500
Pt1 Pt 0.000 0.000 0.500
Pt2 Pt 0.500 0.000 0.869
Pt3 Pt 0.000 0.500 0.131
```

Summary:
calculated volume = 19.7 A^3/atom
space-group type = P-4m2
energy of formation = -0.869 eV/atom
total energy = -5.093 eV/atom